1.
First-principles (PBE) data for a relaxed structure of LiMgSc2In4, as listed in the Alexandria database.

Lattice parameters (Å, degrees): 8.6590 8.6590 8.6590 33.54 33.54 33.54
With the nearest neighbours (Å) after each atom.
Fractional positions:
Li 0.0000 0.0000 0.0000  8 In 2.96-3.03
Mg 0.5000 0.5000 0.5000  8 In 3.10-3.16
Sc 0.2469 0.2469 0.2469  8 In 3.01-3.12
Sc 0.7531 0.7531 0.7531  8 In 3.01-3.12
In 0.1209 0.1209 0.1209  1 Li 2.96, 4 Sc 3.01-3.09, 3 Mg 3.10
In 0.3710 0.3710 0.3710  3 Li 3.03, 4 Sc 3.04-3.12, 1 Mg 3.16
In 0.6290 0.6290 0.6290  3 Li 3.03, 4 Sc 3.04-3.12, 1 Mg 3.16
In 0.8791 0.8791 0.8791  1 Li 2.96, 4 Sc 3.01-3.09, 3 Mg 3.10

Values from the calculation:
Space-group type = R-3m
Spin magnetization = 0.0 μB/f.u.
ΔH_f (0 K) = -0.28 eV/atom

2.
First-principles (PBE) data for a relaxed structure of Na12CaTl6, as listed in the Alexandria database.

Lattice parameters (Å, degrees): 8.3923 8.3923 8.3923 88.32 88.32 88.32
With the nearest neighbours (Å) after each atom.
Fractional positions:
Na 0.0230 0.9258 0.3076  4 Tl 3.29-3.51, 5 Na 3.45-3.58
Na 0.0742 0.6924 0.9770  4 Tl 3.29-3.51, 5 Na 3.45-3.58
Na 0.1111 0.4675 0.3434  3 Na 3.23-3.58, 3 Tl 3.30-3.54, 1 Ca 3.57
Na 0.3076 0.0230 0.9258  4 Tl 3.29-3.51, 5 Na 3.45-3.58
Na 0.3434 0.1111 0.4675  3 Na 3.23-3.58, 3 Tl 3.30-3.54, 1 Ca 3.57
Na 0.4675 0.3434 0.1111  3 Na 3.23-3.58, 3 Tl 3.30-3.54, 1 Ca 3.57
Na 0.5325 0.6566 0.8889  3 Na 3.23-3.58, 3 Tl 3.30-3.54, 1 Ca 3.57
Na 0.6566 0.8889 0.5325  3 Na 3.23-3.58, 3 Tl 3.30-3.54, 1 Ca 3.57
Na 0.6924 0.9770 0.0742  4 Tl 3.29-3.51, 5 Na 3.45-3.58
Na 0.8889 0.5325 0.6566  3 Na 3.23-3.58, 3 Tl 3.30-3.54, 1 Ca 3.57
Na 0.9258 0.3076 0.0230  4 Tl 3.29-3.51, 5 Na 3.45-3.58
Na 0.9770 0.0742 0.6924  4 Tl 3.29-3.51, 5 Na 3.45-3.58
Ca 0.5000 0.5000 0.5000  6 Tl 3.28, 6 Na 3.57
Tl 0.2287 0.7636 0.6186  1 Ca 3.28, 8 Na 3.29-3.62, 2 Tl 3.42
Tl 0.2364 0.3814 0.7713  1 Ca 3.28, 8 Na 3.29-3.62, 2 Tl 3.42
Tl 0.3814 0.7713 0.2364  1 Ca 3.28, 8 Na 3.29-3.62, 2 Tl 3.42
Tl 0.6186 0.2287 0.7636  1 Ca 3.28, 8 Na 3.29-3.62, 2 Tl 3.42
Tl 0.7636 0.6186 0.2287  1 Ca 3.28, 8 Na 3.29-3.62, 2 Tl 3.42
Tl 0.7713 0.2364 0.3814  1 Ca 3.28, 8 Na 3.29-3.62, 2 Tl 3.42

Values from the calculation:
Space-group type = R-3
Offset from the most stable computed form = 0 meV/atom
Spin magnetization = 0.0 μB/f.u.
ΔH_f (0 K) = -0.09 eV/atom

3.
First-principles (PBE) data for a relaxed structure of Pt2Pb, as listed in the Alexandria database.

Lattice parameters (Å, degrees): 11.7035 3.8788 5.6630 90.00 112.68 90.00
With the nearest neighbours (Å) after each atom.
Fractional positions:
Pt 0.0210 0.0000 0.2646  6 Pt 2.74-2.89, 2 Pb 2.84
Pt 0.1261 0.5000 0.6567  5 Pt 2.74-2.85, 4 Pb 2.80-2.98
Pt 0.3739 0.0000 0.3433  5 Pt 2.74-2.85, 4 Pb 2.80-2.98
Pt 0.4790 0.5000 0.7354  6 Pt 2.74-2.89, 2 Pb 2.84
Pt 0.5210 0.5000 0.2646  6 Pt 2.74-2.89, 2 Pb 2.84
Pt 0.6261 0.0000 0.6567  5 Pt 2.74-2.85, 4 Pb 2.80-2.98
Pt 0.8739 0.5000 0.3433  5 Pt 2.74-2.85, 4 Pb 2.80-2.98
Pt 0.9790 0.0000 0.7354  6 Pt 2.74-2.89, 2 Pb 2.84
Pb 0.1790 0.5000 0.1830  6 Pt 2.80-2.98
Pb 0.3210 0.0000 0.8170  6 Pt 2.80-2.98
Pb 0.6790 0.0000 0.1830  6 Pt 2.80-2.98
Pb 0.8210 0.5000 0.8170  6 Pt 2.80-2.98

Values from the calculation:
Space-group type = C2/m
Spin magnetization = 0.0 μB/f.u.
ΔH_f (0 K) = -0.07 eV/atom

4.
First-principles (PBE) data for a relaxed structure of Zr2Zn, as listed in the Alexandria database.

Lattice parameters (Å, degrees): 5.6947 5.6947 5.6947 60.00 60.00 60.00
With the nearest neighbours (Å) after each atom.
Fractional positions:
Zr 0.0000 0.0000 0.0000  6 Zr 2.85
Zr 0.0000 0.0000 0.5000  6 Zr 2.85
Zr 0.0000 0.5000 0.0000  6 Zr 2.85
Zr 0.5000 0.0000 0.0000  6 Zr 2.85
Zn 0.3750 0.3750 0.3750  12 Zr 3.34, 4 Zn 3.49
Zn 0.6250 0.6250 0.6250  12 Zr 3.34, 4 Zn 3.49

Values from the calculation:
Space-group type = Fd-3m
Spin magnetization = 0.0 μB/f.u.
ΔH_f (0 K) = 0.39 eV/atom

5.
First-principles (PBE) data for a relaxed structure of Pr3Bi2O2, as listed in the Alexandria database.

Lattice parameters (Å, degrees): 12.2207 3.5597 8.8041 90.00 117.80 90.00
With the nearest neighbours (Å) after each atom.
Fractional positions:
Pr 0.0000 0.0000 0.0000  4 O 2.52
Pr 0.1808 0.5000 0.7811  3 O 2.43-2.58
Pr 0.3192 0.0000 0.2189  3 O 2.43-2.58
Pr 0.5000 0.5000 0.0000  4 O 2.52
Pr 0.6808 0.0000 0.7811  3 O 2.43-2.58
Pr 0.8192 0.5000 0.2189  3 O 2.43-2.58
Bi 0.1010 0.0000 0.4079  5 Pr 3.21-3.53, 3 Bi 3.53-3.56
Bi 0.3990 0.5000 0.5921  5 Pr 3.21-3.53, 3 Bi 3.53-3.56
Bi 0.6010 0.5000 0.4079  5 Pr 3.21-3.53, 3 Bi 3.53-3.56
Bi 0.8990 0.0000 0.5921  5 Pr 3.21-3.53, 3 Bi 3.53-3.56
O 0.1576 0.5000 0.0411  5 Pr 2.43-2.58
O 0.3424 0.0000 0.9589  5 Pr 2.43-2.58
O 0.6576 0.0000 0.0411  5 Pr 2.43-2.58
O 0.8424 0.5000 0.9589  5 Pr 2.43-2.58

Values from the calculation:
ΔE_f (raw) = -1251 kJ/mol of formula units
Space-group type = C2/m
Spin magnetization = 0.0 μB/f.u.

6.
First-principles (PBE) data for a relaxed structure of Nd7DyEr2, as listed in the Alexandria database.

Lattice parameters (Å, degrees): 9.3583 9.3583 5.6726 90.00 90.00 123.36
With the nearest neighbours (Å) after each atom.
Fractional positions:
Nd 0.0000 0.0000 0.0000  2 Er 3.38, 4 Nd 3.41
Nd 0.2075 0.4343 0.0000  2 Nd 3.18-3.41, 2 Er 3.23-3.39
Nd 0.2805 0.7195 0.5000  2 Er 3.10
Nd 0.4343 0.2075 0.0000  2 Nd 3.18-3.41, 2 Er 3.23-3.39
Nd 0.5657 0.7925 0.0000  2 Nd 3.18-3.41, 2 Er 3.23-3.39
Nd 0.7195 0.2805 0.5000  2 Er 3.10
Nd 0.7925 0.5657 0.0000  2 Nd 3.18-3.41, 2 Er 3.23-3.39
Dy 0.5000 0.5000 0.5000  10 Nd 3.62-3.75
Er 0.2052 0.7948 0.0000  7 Nd 3.10-3.39
Er 0.7948 0.2052 0.0000  7 Nd 3.10-3.39

Values from the calculation:
Space-group type = Cmmm
Spin magnetization = 0.0 μB/f.u.
ΔH_f (0 K) = 0.64 eV/atom

7.
First-principles (PBE) data for a relaxed structure of YFe2Rh, as listed in the Alexandria database.

Lattice parameters (Å, degrees): 5.3181 8.8850 2.9489 90.00 111.99 90.00
With the nearest neighbours (Å) after each atom.
Fractional positions:
Y 0.0000 0.0000 0.0000  2 Rh 2.66, 4 Fe 2.72, 2 Y 2.95
Y 0.5000 0.5000 0.0000  2 Rh 2.66, 4 Fe 2.72, 2 Y 2.95
Fe 0.2500 0.2500 0.5000  4 Fe 2.66-2.95, 2 Rh 2.72, 2 Y 2.72
Fe 0.2500 0.7500 0.5000  4 Fe 2.66-2.95, 2 Rh 2.72, 2 Y 2.72
Fe 0.7500 0.2500 0.5000  4 Fe 2.66-2.95, 2 Rh 2.72, 2 Y 2.72
Fe 0.7500 0.7500 0.5000  4 Fe 2.66-2.95, 2 Rh 2.72, 2 Y 2.72
Rh 0.0000 0.5000 0.0000  2 Y 2.66, 4 Fe 2.72, 2 Rh 2.95
Rh 0.5000 0.0000 0.0000  2 Y 2.66, 4 Fe 2.72, 2 Rh 2.95

Values from the calculation:
Space-group type = C2/m
Spin magnetization = 5.2 μB/f.u.
ΔH_f (0 K) = 0.15 eV/atom

8.
First-principles (PBE) data for a relaxed structure of Tb4CeDy2Ho, as listed in the Alexandria database.

Lattice parameters (Å, degrees): 6.1369 3.5435 11.7648 90.00 100.02 90.00
With the nearest neighbours (Å) after each atom.
Fractional positions:
Tb 0.2463 0.0000 0.2489  6 Tb 3.51-3.57, 2 Ce 3.53, 1 Ho 3.54, 3 Dy 3.55-3.56
Tb 0.2478 0.5000 0.7502  6 Tb 3.51-3.57, 1 Ce 3.54, 2 Ho 3.54, 3 Dy 3.55-3.56
Tb 0.7522 0.5000 0.2498  6 Tb 3.51-3.57, 1 Ce 3.54, 2 Ho 3.54, 3 Dy 3.55-3.56
Tb 0.7537 0.0000 0.7511  6 Tb 3.51-3.57, 2 Ce 3.53, 1 Ho 3.54, 3 Dy 3.55-3.56
Ce 0.0000 0.5000 0.0000  6 Tb 3.53-3.54, 4 Dy 3.54, 2 Ce 3.54
Dy 0.5000 0.0000 0.0000  4 Ce 3.54, 2 Dy 3.54, 6 Tb 3.55
Dy 0.5000 0.5000 0.5000  4 Ho 3.54, 2 Dy 3.54, 6 Tb 3.56
Ho 0.0000 0.0000 0.5000  4 Dy 3.54, 6 Tb 3.54, 2 Ho 3.54

Values from the calculation:
Space-group type = P2/m
Spin magnetization = 0.8 μB/f.u.
ΔH_f (0 K) = 0.04 eV/atom

9.
First-principles (PBE) data for a relaxed structure of AgBi2Au3, as listed in the Alexandria database.

Lattice parameters (Å, degrees): 7.1127 5.5405 7.1191 90.00 104.92 90.00
With the nearest neighbours (Å) after each atom.
Fractional positions:
Ag 0.0044 0.2500 0.1292  4 Au 2.91-2.99, 2 Bi 2.98-2.99
Ag 0.9956 0.7500 0.8708  4 Au 2.91-2.99, 2 Bi 2.98-2.99
Bi 0.2532 0.7500 0.2745  5 Au 2.94-3.08, 1 Ag 2.98
Bi 0.3048 0.2500 0.9023  4 Au 2.95-3.23, 1 Ag 2.99
Bi 0.6952 0.7500 0.0977  4 Au 2.95-3.23, 1 Ag 2.99
Bi 0.7468 0.2500 0.7255  5 Au 2.94-3.08, 1 Ag 2.98
Au 0.0000 0.0000 0.5000  6 Au 2.77-3.05, 2 Ag 2.99, 2 Bi 3.04
Au 0.0000 0.5000 0.5000  6 Au 2.77-3.05, 2 Ag 2.99, 2 Bi 3.04
Au 0.3525 0.2500 0.4626  3 Au 2.87-2.94, 3 Bi 2.94-3.08, 1 Ag 2.96
Au 0.3585 0.7500 0.7537  3 Au 2.87-3.05, 1 Ag 2.91, 3 Bi 2.95-3.02
Au 0.6415 0.2500 0.2463  3 Au 2.87-3.05, 1 Ag 2.91, 3 Bi 2.95-3.02
Au 0.6475 0.7500 0.5374  3 Au 2.87-2.94, 3 Bi 2.94-3.08, 1 Ag 2.96

Values from the calculation:
Space-group type = P2_1/m
Spin magnetization = 0.0 μB/f.u.
ΔH_f (0 K) = 0.03 eV/atom

10.
First-principles (PBE) data for a relaxed structure of CePr3Al8, as listed in the Alexandria database.

Lattice parameters (Å, degrees): 5.6807 5.6807 9.3599 90.00 90.00 120.00
With the nearest neighbours (Å) after each atom.
Fractional positions:
Ce 0.0000 0.0000 0.0000  12 Al 3.29-3.38, 4 Pr 3.34-3.52
Pr 0.0000 0.0000 0.3564  12 Al 3.29-3.43, 1 Ce 3.34, 3 Pr 3.54
Pr 0.6667 0.3333 0.4975  12 Al 3.32-3.39, 4 Pr 3.43-3.54
Pr 0.6667 0.3333 0.8644  12 Al 3.32-3.35, 1 Pr 3.43, 3 Ce 3.52
Al 0.1621 0.3243 0.6812  6 Al 2.76-2.92
Al 0.1621 0.8379 0.6812  6 Al 2.76-2.92
Al 0.3333 0.6667 0.4327  6 Al 2.87-2.91
Al 0.3333 0.6667 0.9310  6 Al 2.86-2.88
Al 0.5039 0.0078 0.1782  6 Al 2.77-2.91
Al 0.5039 0.4961 0.1782  6 Al 2.77-2.91
Al 0.6757 0.8379 0.6812  6 Al 2.76-2.92
Al 0.9922 0.4961 0.1782  6 Al 2.77-2.91

Values from the calculation:
Space-group type = P3m1
Offset from the most stable computed form = 13 meV/atom
Spin magnetization = 0.6 μB/f.u.
ΔH_f (0 K) = -0.46 eV/atom

11.
First-principles (PBE) data for a relaxed structure of SrGeN2, as listed in the Alexandria database.

Lattice parameters (Å, degrees): 6.2668 6.2668 12.0384 97.52 97.52 90.00
With the nearest neighbours (Å) after each atom.
Fractional positions:
Sr 0.1541 0.7795 0.6142  6 N 2.61-2.76
Sr 0.2205 0.8459 0.8858  6 N 2.61-2.76
Sr 0.2248 0.3468 0.8919  6 N 2.57-2.78
Sr 0.3468 0.2248 0.3919  6 N 2.57-2.78
Sr 0.6532 0.7752 0.6081  6 N 2.57-2.78
Sr 0.7752 0.6532 0.1081  6 N 2.57-2.78
Sr 0.7795 0.1541 0.1142  6 N 2.61-2.76
Sr 0.8459 0.2205 0.3858  6 N 2.61-2.76
Ge 0.0872 0.7108 0.3414  4 N 1.89-1.91
Ge 0.2891 0.4175 0.1585  4 N 1.89-1.92
Ge 0.2892 0.9128 0.1586  4 N 1.89-1.91
Ge 0.4175 0.2891 0.6585  4 N 1.89-1.92
Ge 0.5825 0.7109 0.3415  4 N 1.89-1.92
Ge 0.7108 0.0872 0.8414  4 N 1.89-1.91
Ge 0.7109 0.5825 0.8415  4 N 1.89-1.92
Ge 0.9128 0.2892 0.6586  4 N 1.89-1.91
N 0.0633 0.4399 0.2494  2 Ge 1.89-1.90
N 0.0639 0.9361 0.2500  2 Ge 1.89
N 0.1417 0.2665 0.5682  2 Ge 1.90-1.91
N 0.2665 0.1417 0.0682  2 Ge 1.90-1.91
N 0.2667 0.6420 0.0633  2 Ge 1.91-1.92
N 0.3580 0.7333 0.4367  2 Ge 1.91-1.92
N 0.4399 0.0633 0.7494  2 Ge 1.89-1.90
N 0.4397 0.5603 0.7500  2 Ge 1.89
N 0.5603 0.4397 0.2500  2 Ge 1.89
N 0.5601 0.9367 0.2506  2 Ge 1.89-1.90
N 0.6420 0.2667 0.5633  2 Ge 1.91-1.92
N 0.7333 0.3580 0.9367  2 Ge 1.91-1.92
N 0.7335 0.8583 0.9318  2 Ge 1.90-1.91
N 0.8583 0.7335 0.4318  2 Ge 1.90-1.91
N 0.9361 0.0639 0.7500  2 Ge 1.89
N 0.9367 0.5601 0.7506  2 Ge 1.89-1.90

Values from the calculation:
ΔE_f (raw) = -216 kJ/mol of formula units
Space-group type = C2/c
Spin magnetization = 0.0 μB/f.u.

12.
First-principles (PBE) data for a relaxed structure of FeCuC2I, as listed in the Alexandria database.

Lattice parameters (Å, degrees): 3.7267 3.7267 5.2450 90.00 90.00 90.00
With the nearest neighbours (Å) after each atom.
Fractional positions:
Fe 0.0000 0.0000 0.0000  2 Cu 2.62, 4 I 2.64
Cu 0.0000 0.0000 0.5000  4 C 1.86
C 0.0000 0.5000 0.5000  2 Cu 1.86
C 0.5000 0.0000 0.5000  2 Cu 1.86
I 0.5000 0.5000 0.0000  4 Fe 2.64

Values from the calculation:
ΔE_f (raw) = 1076 kJ/mol of formula units
Space-group type = P4/mmm
Spin magnetization = 0.0 μB/f.u.